--- w ---
Here is a relaxed structure of NaAcPb from Alexandria. Energies are from PBE-GGA.

Geometry as POSCAR:
```
NaAcPb
1.0
12.192 0.000 0.000
0.000 5.111 0.000
-4.745 0.000 6.937
Na Ac Pb
4 4 4
Direct
0.173 0.000 0.079
0.327 0.500 0.921
0.673 0.500 0.079
0.827 0.000 0.921
0.059 0.500 0.331
0.441 0.000 0.669
0.559 0.000 0.331
0.941 0.500 0.669
0.159 0.000 0.670
0.341 0.500 0.330
0.659 0.500 0.670
0.841 0.000 0.330
```

Calculated values
Fermi-level density of states: 10.32 states/eV/cell
total magnetization: 0.000 μB per atom
crystal system: monoclinic
calculated volume: 36.0 Å³ per atom

--- x ---
Here is a relaxed structure of NaAcPb from Alexandria. Energies are from PBE-GGA.

Geometry as POSCAR:
```
NaAcPb
1.0
8.394 0.000 0.000
-4.197 7.269 0.000
0.000 0.000 5.038
Na Ac Pb
3 3 3
Direct
0.000 0.761 0.000
0.239 0.239 0.000
0.761 0.000 0.000
0.000 0.419 0.500
0.419 0.000 0.500
0.581 0.581 0.500
0.000 0.000 0.500
0.333 0.667 0.000
0.667 0.333 0.000
```

Calculated values
Fermi-level density of states: 2.24 states/eV/cell
total magnetization: 0.000 μB per atom
crystal system: hexagonal
calculated volume: 34.2 Å³ per atom

The structure with the least stability is w.